(1)
An optimized crystal structure of Tb2AgO. Source: Alexandria, functional PBE.

extended XYZ file:
```
4
Lattice="1.705 0.984 8.696 -1.705 0.984 8.696 0.000 -1.969 8.696" Properties=species:S:1:pos:R:3 pbc="T T T"
Tb 0.000 0.000 2.963
Tb 0.000 0.000 23.125
Ag 0.000 0.000 0.000
O 0.000 0.000 13.044
```

Properties
DOS(E_F) ... 2.053 states/eV/f.u.

***

(2)
An optimized crystal structure of TbAgO3. Source: Alexandria, functional PBE.

extended XYZ file:
```
10
Lattice="1.965 -5.920 0.000 1.965 5.920 0.000 0.000 0.000 5.899" Properties=species:S:1:pos:R:3 pbc="T T T"
Tb 1.965 3.599 4.424
Tb 1.965 -3.599 1.475
Ag 1.965 0.323 4.424
Ag 1.965 -0.323 1.475
O 1.965 -5.918 1.475
O 1.965 5.918 4.424
O 1.965 1.924 0.136
O 1.965 1.924 2.814
O 1.965 -1.924 3.085
O 1.965 -1.924 5.763
```

Properties
DOS(E_F) ... 2.909 states/eV/f.u.

***

(3)
An optimized crystal structure of Tb3AgO. Source: Alexandria, functional PBE.

extended XYZ file:
```
5
Lattice="4.779 0.000 0.000 0.000 4.779 0.000 0.000 0.000 4.779" Properties=species:S:1:pos:R:3 pbc="T T T"
Tb 0.000 0.000 2.390
Tb 0.000 2.390 0.000
Tb 2.390 0.000 0.000
Ag 2.390 2.390 2.390
O 0.000 0.000 0.000
```

Properties
DOS(E_F) ... 5.736 states/eV/f.u.

***

(4)
An optimized crystal structure of TbAgO2. Source: Alexandria, functional PBE.

extended XYZ file:
```
4
Lattice="1.737 1.003 5.826 -1.737 1.003 5.826 0.000 -2.005 5.826" Properties=species:S:1:pos:R:3 pbc="T T T"
Tb 0.000 0.000 0.000
Ag 0.000 0.000 3.052
O 0.000 0.000 6.952
O 0.000 0.000 10.493
```

***

(5)
An optimized crystal structure of Tb3AgO6. Source: Alexandria, functional PBE.

extended XYZ file:
```
20
Lattice="4.499 -5.610 0.000 4.499 5.610 0.000 0.000 0.000 5.624" Properties=species:S:1:pos:R:3 pbc="T T T"
Tb 4.499 4.469 2.812
Tb 2.661 1.283 2.505
Tb 2.661 -1.283 5.317
Tb 6.337 1.283 2.505
Tb 6.337 -1.283 5.317
Tb 4.499 -4.469 0.000
Ag 4.499 1.626 5.300
Ag 4.499 -1.626 2.488
O 3.093 2.920 4.077
O 1.438 0.181 4.058
O 1.438 -0.181 1.246
O 4.499 2.473 1.579
O 5.905 2.920 4.077
O 4.499 0.226 3.672
O 4.499 -0.226 0.860
O 3.093 -2.920 1.265
O 4.499 -2.473 4.390
O 7.561 0.181 4.058
O 7.561 -0.181 1.246
O 5.905 -2.920 1.265
```

Properties
DOS(E_F) ... 5.083 states/eV/f.u.

***

(6)
An optimized crystal structure of TbTc2AgO8. Source: Alexandria, functional PBE.

extended XYZ file:
```
12
Lattice="6.051 0.000 0.000 -3.026 5.240 0.000 0.000 0.000 6.635" Properties=species:S:1:pos:R:3 pbc="T T T"
Tb 0.000 0.000 0.000
Tc 0.000 3.494 1.978
Tc 3.026 1.747 4.657
Ag 0.000 0.000 3.317
O 0.000 1.782 1.404
O -1.482 4.349 1.404
O 0.000 3.494 3.713
O 1.543 0.891 5.231
O 1.482 4.349 1.404
O 3.026 1.747 2.922
O 4.508 0.891 5.231
O 3.026 3.459 5.231
```

Properties
DOS(E_F) ... 5.545 states/eV/f.u.

***

(7)
An optimized crystal structure of TbAgTe2O8. Source: Alexandria, functional PBE.

extended XYZ file:
```
12
Lattice="-2.668 2.668 5.770 2.668 -2.668 5.770 2.668 2.668 -5.770" Properties=species:S:1:pos:R:3 pbc="T T T"
Tb 0.000 0.000 0.000
Ag 0.000 2.668 2.885
Te 2.668 0.000 2.885
Te 0.000 0.000 5.770
O 3.992 -0.842 1.867
O 1.826 -1.323 3.903
O 1.708 1.378 -0.936
O 1.345 0.842 1.867
O 1.290 -0.961 6.706
O 3.511 1.323 3.903
O 0.961 1.290 4.833
O 1.378 3.629 0.936
```

Properties
DOS(E_F) ... 0.787 states/eV/f.u.

***

(8)
An optimized crystal structure of Tb2AgTeO6. Source: Alexandria, functional PBE.

extended XYZ file:
```
10
Lattice="2.904 1.677 5.161 -2.904 1.677 5.161 0.000 -3.353 5.161" Properties=species:S:1:pos:R:3 pbc="T T T"
Tb 0.000 0.000 0.000
Tb 0.000 0.000 7.540
Ag 0.000 0.000 3.567
Te 0.000 0.000 10.714
O -1.066 -1.750 6.536
O -1.556 -0.151 9.337
O -0.983 1.798 6.536
O 0.908 -1.272 9.337
O 2.048 -0.048 6.536
O 0.648 1.423 9.337
```

Properties
DOS(E_F) ... 4.427 states/eV/f.u.

***

Number 1: formation energy from raw total energies -1.074 eV per atom. Number 2: formation energy from raw total energies -1.574 eV per atom. Number 3: formation energy from raw total energies -1.223 eV per atom. Number 4: formation energy from raw total energies -2.066 eV per atom. Number 5: formation energy from raw total energies -2.599 eV per atom. Number 6: formation energy from raw total energies -1.603 eV per atom. Number 7: formation energy from raw total energies -1.322 eV per atom. Number 8: formation energy from raw total energies -2.080 eV per atom.